# 1
4
Lattice="2.8290 0.0000 0.0000 0.0000 2.7152 0.0000 0.0000 0.0000 8.4013" Properties=species:S:1:pos:R:3 comment="Ti3Ni, relaxed, DFT GGA-PBE" delta_e_f_mev_per_atom=63 vol_a3_per_fu=65 crystal_system=orthorhombic pbc="T T T"
Ni 0.0000 0.0000 8.1681
Ti 0.0000 1.3576 4.0139
Ti 1.4145 1.3576 1.3762
Ti 1.4145 0.0000 6.0448

***

# 2
4
Lattice="2.8874 0.0000 0.0000 0.0000 4.8444 0.0000 -1.4437 -2.4222 4.4437" Properties=species:S:1:pos:R:3 comment="Ti3Ni, relaxed, DFT GGA-PBE" delta_e_f_mev_per_atom=-168 vol_a3_per_fu=62 crystal_system=orthorhombic pbc="T T T"
Ni 0.0000 0.0760 0.0000
Ti 0.0000 1.7257 2.5339
Ti 1.4437 2.1244 0.0000
Ti 1.4437 -0.6965 1.9098

***

# 3
8
Lattice="2.9927 0.0000 0.0000 0.0000 2.9927 0.0000 0.0000 0.0000 12.9208" Properties=species:S:1:pos:R:3 comment="Ti5Ni3, relaxed, DFT GGA-PBE" delta_e_f_mev_per_atom=-302 vol_a3_per_fu=116 crystal_system=tetragonal pbc="T T T"
Ti 0.0000 0.0000 3.0928
Ti 1.4964 1.4964 8.0064
Ti 1.4964 1.4964 4.9145
Ti 0.0000 0.0000 9.8280
Ti 0.0000 0.0000 0.0000
Ni 1.4964 1.4964 1.4799
Ni 1.4964 1.4964 11.4409
Ni 0.0000 0.0000 6.4604